A plane-wave DFT calculation with GGA+U was carried out for a relaxed CrRhO3 crystal.

Lattice parameters (Å, degrees): 2.987 4.978 5.138 111.89 106.83 90.11
Space group P1 (No. 1)
Inequivalent atoms, fractional coordinates:
Cr 0.000 0.000 0.000 [1 per cell]
Rh 0.723 0.672 0.445 [1 per cell]
O 0.145 0.401 0.291 [1 per cell]
O 0.350 0.987 0.699 [1 per cell]
O 0.574 0.849 0.150 [1 per cell]

Properties
- E_tot: -6.86 eV per atom
- D(E_F): 0.1228 states/eV/atom